# 1
# Ac5LaPm2Ho

An optimized crystal structure of Ac5LaPm2Ho (PBE-GGA, Alexandria).

The structure in CIF format:
```
data_Ac5LaPm2Ho
_space_group_name_H-M_alt 'P 1'
_space_group_IT_number 1
_cell_length_a 6.007
_cell_length_b 11.299
_cell_length_c 11.274
_cell_angle_alpha 90.00
_cell_angle_beta 90.00
_cell_angle_gamma 105.41
loop_
_space_group_symop_operation_xyz
'x,y,z'
loop_
_atom_site_label
_atom_site_type_symbol
_atom_site_fract_x
_atom_site_fract_y
_atom_site_fract_z
_atom_site_occupancy
Pm1 Pm 0.117 0.233 0.743 1
La1 La 0.593 0.186 0.963 1
Ac1 Ac 0.627 0.254 0.518 1
Ac2 Ac 0.724 0.449 0.822 1
Ac3 Ac 0.298 0.596 0.703 1
Ac4 Ac 0.373 0.746 0.018 1
Pm2 Pm 0.114 0.227 0.302 1
Pm3 Pm 0.883 0.767 0.243 1
Ac5 Ac 0.702 0.404 0.203 1
Ac6 Ac 0.513 0.027 0.246 1
Ac7 Ac 0.487 0.973 0.746 1
Ho1 Ho 0.809 0.618 0.514 1
Ac8 Ac 0.012 0.023 0.013 1
Ho2 Ho 0.191 0.382 0.014 1
Pm4 Pm 0.886 0.773 0.802 1
La2 La 0.407 0.814 0.463 1
Ac9 Ac 0.276 0.551 0.322 1
Ac10 Ac 0.988 0.977 0.513 1
```

Computed properties:
The calculation puts the formation energy at 0.150 eV per atom. The total energy is -38.20 eV/f.u. The symmetry is No. 36. Its total magnetic moment is 0.000 μB/f.u. As for the density of states at the Fermi level: 1.640 states/eV per atom.

***

# 2
# AcLa3PmHo

An optimized crystal structure of AcLa3PmHo (PBE-GGA, Alexandria).

The structure in CIF format:
```
data_AcLa3PmHo
_space_group_name_H-M_alt 'P 1'
_space_group_IT_number 1
_cell_length_a 5.982
_cell_length_b 10.987
_cell_length_c 7.108
_cell_angle_alpha 91.34
_cell_angle_beta 90.00
_cell_angle_gamma 105.80
loop_
_space_group_symop_operation_xyz
'x,y,z'
loop_
_atom_site_label
_atom_site_type_symbol
_atom_site_fract_x
_atom_site_fract_y
_atom_site_fract_z
_atom_site_occupancy
Ho1 Ho 0.359 0.719 0.507 1
Ho2 Ho 0.641 0.281 0.493 1
Pm1 Pm 0.058 0.115 0.283 1
La1 La 0.781 0.563 0.717 1
La2 La 0.515 0.030 0.747 1
La3 La 0.485 0.970 0.253 1
La4 La 0.159 0.317 0.747 1
La5 La 0.841 0.683 0.253 1
La6 La 0.219 0.437 0.283 1
Pm2 Pm 0.942 0.885 0.717 1
Ac1 Ac 0.649 0.297 0.033 1
Ac2 Ac 0.351 0.703 0.967 1
```

Computed properties:
The calculation puts the formation energy at 0.173 eV per atom. The total energy is -27.18 eV/f.u. The symmetry is No. 12. Its total magnetic moment is 0.000 μB/f.u. As for the density of states at the Fermi level: 1.463 states/eV per atom.

***

# 3
# Ac2La2PmHo

An optimized crystal structure of Ac2La2PmHo (PBE-GGA, Alexandria).

The structure in CIF format:
```
data_Ac2La2PmHo
_space_group_name_H-M_alt 'P 1'
_space_group_IT_number 1
_cell_length_a 7.282
_cell_length_b 6.751
_cell_length_c 9.382
_cell_angle_alpha 94.81
_cell_angle_beta 90.00
_cell_angle_gamma 90.00
loop_
_space_group_symop_operation_xyz
'x,y,z'
loop_
_atom_site_label
_atom_site_type_symbol
_atom_site_fract_x
_atom_site_fract_y
_atom_site_fract_z
_atom_site_occupancy
La1 La 0.750 0.907 0.481 1
Pm1 Pm 0.750 0.313 0.846 1
La2 La 0.750 0.409 0.503 1
Pm2 Pm 0.250 0.687 0.154 1
La3 La 0.250 0.591 0.497 1
La4 La 0.250 0.093 0.519 1
Ac1 Ac 0.500 0.181 0.175 1
Ho1 Ho 0.750 0.659 0.145 1
Ac2 Ac 0.000 0.819 0.825 1
Ac3 Ac 0.000 0.181 0.175 1
Ho2 Ho 0.250 0.341 0.855 1
Ac4 Ac 0.500 0.819 0.825 1
```

Computed properties:
The calculation puts the formation energy at 0.141 eV per atom. The total energy is -26.55 eV/f.u. The symmetry is No. 11. Its total magnetic moment is 0.001 μB/f.u. As for the density of states at the Fermi level: 1.640 states/eV per atom.

***

# 4
# AcLa5Pm2Ho

An optimized crystal structure of AcLa5Pm2Ho (PBE-GGA, Alexandria).

The structure in CIF format:
```
data_AcLa5Pm2Ho
_space_group_name_H-M_alt 'P 1'
_space_group_IT_number 1
_cell_length_a 9.276
_cell_length_b 9.276
_cell_length_c 10.152
_cell_angle_alpha 117.19
_cell_angle_beta 117.19
_cell_angle_gamma 90.00
loop_
_space_group_symop_operation_xyz
'x,y,z'
loop_
_atom_site_label
_atom_site_type_symbol
_atom_site_fract_x
_atom_site_fract_y
_atom_site_fract_z
_atom_site_occupancy
Ho1 Ho 0.750 0.250 0.500 1
Ac1 Ac 0.250 0.250 0.500 1
La1 La 0.835 0.930 0.265 1
Pm1 Pm 0.886 0.614 0.000 1
Pm2 Pm 0.114 0.386 0.000 1
Pm3 Pm 0.386 0.886 0.000 1
Pm4 Pm 0.614 0.114 0.000 1
La2 La 0.665 0.165 0.735 1
La3 La 0.430 0.335 0.265 1
La4 La 0.570 0.665 0.735 1
Ac2 Ac 0.750 0.750 0.500 1
Ho2 Ho 0.250 0.750 0.500 1
La5 La 0.000 0.000 0.000 1
La6 La 0.500 0.500 0.000 1
La7 La 0.335 0.835 0.265 1
La8 La 0.930 0.430 0.265 1
La9 La 0.165 0.070 0.735 1
La10 La 0.070 0.570 0.735 1
```

Computed properties:
The calculation puts the formation energy at 0.249 eV per atom. The total energy is -40.59 eV/f.u. The symmetry is No. 140. Its total magnetic moment is 0.000 μB/f.u. As for the density of states at the Fermi level: 1.745 states/eV per atom.

***

# 5
# AcLa2Pm6Ho

An optimized crystal structure of AcLa2Pm6Ho (PBE-GGA, Alexandria).

The structure in CIF format:
```
data_AcLa2Pm6Ho
_space_group_name_H-M_alt 'P 1'
_space_group_IT_number 1
_cell_length_a 9.950
_cell_length_b 9.093
_cell_length_c 9.093
_cell_angle_alpha 118.22
_cell_angle_beta 93.53
_cell_angle_gamma 93.53
loop_
_space_group_symop_operation_xyz
'x,y,z'
loop_
_atom_site_label
_atom_site_type_symbol
_atom_site_fract_x
_atom_site_fract_y
_atom_site_fract_z
_atom_site_occupancy
Pm1 Pm 0.056 0.129 0.742 1
Pm2 Pm 0.882 0.292 0.502 1
Pm3 Pm 0.118 0.708 0.498 1
Pm4 Pm 0.444 0.258 0.871 1
Pm5 Pm 0.618 0.498 0.708 1
Pm6 Pm 0.810 0.431 0.982 1
Pm7 Pm 0.690 0.018 0.569 1
La1 La 0.044 0.311 0.199 1
La2 La 0.456 0.801 0.689 1
Pm8 Pm 0.310 0.982 0.431 1
Pm9 Pm 0.944 0.871 0.258 1
Pm10 Pm 0.556 0.742 0.129 1
Ac1 Ac 0.750 0.019 0.981 1
Pm11 Pm 0.190 0.569 0.018 1
Ho1 Ho 0.750 0.592 0.408 1
Ho2 Ho 0.250 0.408 0.592 1
La3 La 0.956 0.689 0.801 1
La4 La 0.544 0.199 0.311 1
Ac2 Ac 0.250 0.981 0.019 1
Pm12 Pm 0.382 0.502 0.292 1
```

Computed properties:
The calculation puts the formation energy at 0.118 eV per atom. The total energy is -45.87 eV/f.u. The symmetry is No. 15. Its total magnetic moment is 0.000 μB/f.u. As for the density of states at the Fermi level: 1.533 states/eV per atom.

***

# 6
# AcLa5PmHo2

An optimized crystal structure of AcLa5PmHo2 (PBE-GGA, Alexandria).

The structure in CIF format:
```
data_AcLa5PmHo2
_space_group_name_H-M_alt 'P 1'
_space_group_IT_number 1
_cell_length_a 5.676
_cell_length_b 12.607
_cell_length_c 9.636
_cell_angle_alpha 90.00
_cell_angle_beta 90.00
_cell_angle_gamma 103.01
loop_
_space_group_symop_operation_xyz
'x,y,z'
loop_
_atom_site_label
_atom_site_type_symbol
_atom_site_fract_x
_atom_site_fract_y
_atom_site_fract_z
_atom_site_occupancy
Ho1 Ho 0.112 0.223 0.293 1
La1 La 0.526 0.051 0.255 1
Ho2 Ho 0.888 0.777 0.793 1
La2 La 0.474 0.949 0.755 1
Ho3 Ho 0.173 0.345 0.669 1
La3 La 0.394 0.789 0.033 1
Pm1 Pm 0.771 0.542 0.531 1
La4 La 0.740 0.480 0.850 1
Ac1 Ac 0.604 0.207 0.925 1
La5 La 0.687 0.375 0.229 1
La6 La 0.993 0.986 0.038 1
La7 La 0.007 0.014 0.538 1
La8 La 0.313 0.625 0.729 1
Ho4 Ho 0.827 0.655 0.169 1
Pm2 Pm 0.229 0.458 0.031 1
La9 La 0.260 0.520 0.350 1
Ac2 Ac 0.396 0.793 0.425 1
La10 La 0.606 0.211 0.533 1
```

Computed properties:
The calculation puts the formation energy at 0.142 eV per atom. The total energy is -41.37 eV/f.u. The symmetry is No. 36. Its total magnetic moment is 0.000 μB/f.u. As for the density of states at the Fermi level: 1.410 states/eV per atom.